## PmThGe2Pt5 (GGA-PBE)

Data for an optimized crystal structure of PmThGe2Pt5.

Cell lengths 4.3876, 4.3876, 8.9104 Å; angles 90.00, 90.00, 90.00 degrees
With the nearest neighbours (Å) after each atom.
Space group P4/mmm (No. 123)
Asymmetric unit:
Pm (0.0000, 0.0000, 0.0000) (multiplicity 1)  12 Pt 3.00-3.10
Th (0.0000, 0.0000, 0.5000) (multiplicity 1)  8 Pt 3.25, 8 Ge 3.34
Ge (0.5000, 0.5000, 0.3616) (multiplicity 2)  1 Ge 2.47, 4 Pt 2.49
Pt (0.0000, 0.5000, 0.2304) (multiplicity 4)  2 Ge 2.49
Pt (0.5000, 0.5000, 0.0000) (multiplicity 1)  8 Pt 3.00, 4 Pm 3.10, 2 Ge 3.22

Properties
DFT formation energy = -8.04 eV/f.u.
Fermi-level density of states = 3.93 states/eV per cell
Total DFT energy (no corrections) = -59.7 eV/cell